Below is Na2Hf2AlGaPt2 after structural relaxation, with properties calculated at the GGA-PBE level.

Output
energy = -45.21 eV/cell

Cell: 4.5876 4.5876 6.4911 Å, 90.00 90.00 90.00°
Fractional coordinates of all 8 atoms:
Pt 0.0000 0.5000 0.2454
Pt 0.5000 0.0000 0.7546
Na 0.0000 0.5000 0.7481
Na 0.5000 0.0000 0.2519
Hf 0.5000 0.5000 0.0000
Hf 0.0000 0.0000 0.5000
Ga 0.5000 0.5000 0.5000
Al 0.0000 0.0000 0.0000


Below is Hf2AlGaNi4 after structural relaxation, with properties calculated at the GGA-PBE level.

Output
energy = -53.97 eV/cell

Cell: 4.0838 4.0838 8.0112 Å, 90.00 90.00 120.00°
Fractional coordinates of all 8 atoms:
Hf 0.3333 0.6667 0.2501
Hf 0.6667 0.3333 0.7499
Al 0.0000 0.0000 0.0000
Ga 0.0000 0.0000 0.5000
Ni 0.3333 0.6667 0.5867
Ni 0.6667 0.3333 0.0844
Ni 0.3333 0.6667 0.9156
Ni 0.6667 0.3333 0.4133